(1)
Entry from the Alexandria database: crystalline SiTeSe2 at its relaxed geometry (PBE). Values from VASP.

Summary:
volume: 21.66 Å³ per atom
formation energy (no corrections): 0.361 eV/atom
D(E_F): 0.527 states/eV per atom
calculated density: 6.01 g cm⁻³
space-group type: P4/mmm, No. 123

Quantum ESPRESSO input file:
```
&SYSTEM
  ibrav = 0, nat = 4, ntyp = 3
/
ATOMIC_SPECIES
Si 28.09 Si.upf
Te 127.60 Te.upf
Se 78.96 Se.upf
ATOMIC_POSITIONS angstrom
Si 0.0000 0.0000 0.0000
Te 0.0000 0.0000 3.8583
Se 1.6753 1.6753 1.4725
Se 1.6753 1.6753 6.2441
CELL_PARAMETERS angstrom
3.3507 0.0000 0.0000
0.0000 3.3507 0.0000
0.0000 0.0000 7.7167
```


(2)
Entry from the Alexandria database: crystalline SiTe2Se at its relaxed geometry (PBE). Values from VASP.

Summary:
volume: 29.67 Å³ per atom
formation energy (no corrections): 0.304 eV/atom
D(E_F): 0.690 states/eV per atom
calculated density: 5.07 g cm⁻³
space-group type: I-42d, No. 122

Quantum ESPRESSO input file:
```
&SYSTEM
  ibrav = 0, nat = 16, ntyp = 3
/
ATOMIC_SPECIES
Si 28.09 Si.upf
Te 127.60 Te.upf
Se 78.96 Se.upf
ATOMIC_POSITIONS angstrom
Si 0.0000 0.0000 0.0000
Si 0.0000 3.6738 2.1986
Si 3.6738 0.0000 6.5958
Si 3.6738 3.6738 4.3972
Te 1.6052 1.8369 1.0993
Te 1.8369 5.2791 3.2979
Te 1.8369 5.7424 7.6951
Te 2.0686 1.8369 5.4965
Te 5.2791 5.5107 5.4965
Te 5.5107 1.6052 7.6951
Te 5.5107 2.0686 3.2979
Te 5.7424 5.5107 1.0993
Se 0.0000 0.0000 4.3972
Se 0.0000 3.6738 6.5958
Se 3.6738 0.0000 2.1986
Se 3.6738 3.6738 0.0000
CELL_PARAMETERS angstrom
7.3476 0.0000 0.0000
0.0000 7.3476 0.0000
0.0000 0.0000 8.7944
```


(3)
Entry from the Alexandria database: crystalline SiTeSe3 at its relaxed geometry (PBE). Values from VASP.

Summary:
volume: 23.14 Å³ per atom
formation energy (no corrections): 0.332 eV/atom
D(E_F): 0.906 states/eV per atom
calculated density: 5.63 g cm⁻³
space-group type: Pm-3m, No. 221

Quantum ESPRESSO input file:
```
&SYSTEM
  ibrav = 0, nat = 5, ntyp = 3
/
ATOMIC_SPECIES
Si 28.09 Si.upf
Te 127.60 Te.upf
Se 78.96 Se.upf
ATOMIC_POSITIONS angstrom
Si 0.0000 0.0000 0.0000
Te 2.4365 2.4365 2.4365
Se 0.0000 0.0000 2.4365
Se 0.0000 2.4365 0.0000
Se 2.4365 0.0000 0.0000
CELL_PARAMETERS angstrom
4.8730 0.0000 0.0000
0.0000 4.8730 0.0000
0.0000 0.0000 4.8730
```


(4)
Entry from the Alexandria database: crystalline SiTe2Se at its relaxed geometry (PBE). Values from VASP.

Summary:
volume: 25.38 Å³ per atom
formation energy (no corrections): 0.298 eV/atom
D(E_F): 0.551 states/eV per atom
calculated density: 5.93 g cm⁻³
space-group type: Immm, No. 71

Quantum ESPRESSO input file:
```
&SYSTEM
  ibrav = 0, nat = 8, ntyp = 3
/
ATOMIC_SPECIES
Si 28.09 Si.upf
Te 127.60 Te.upf
Se 78.96 Se.upf
ATOMIC_POSITIONS angstrom
Si 0.0000 0.0000 0.0000
Si 1.8625 2.0440 6.6668
Te 0.0000 2.0440 4.0797
Te 0.0000 2.0440 9.2540
Te 1.8625 0.0000 2.5871
Te 1.8625 0.0000 10.7466
Se 0.0000 0.0000 6.6668
Se 1.8625 2.0440 0.0000
CELL_PARAMETERS angstrom
3.7251 0.0000 0.0000
0.0000 4.0879 0.0000
0.0000 0.0000 13.3337
```


(5)
Entry from the Alexandria database: crystalline SiTe2Se2 at its relaxed geometry (PBE). Values from VASP.

Summary:
volume: 29.34 Å³ per atom
formation energy (no corrections): 0.507 eV/atom
D(E_F): 0.770 states/eV per atom
calculated density: 4.99 g cm⁻³
space-group type: I4/mmm, No. 139

Quantum ESPRESSO input file:
```
&SYSTEM
  ibrav = 0, nat = 10, ntyp = 3
/
ATOMIC_SPECIES
Si 28.09 Si.upf
Te 127.60 Te.upf
Se 78.96 Se.upf
ATOMIC_POSITIONS angstrom
Si 0.0000 0.0000 0.0000
Si 2.8865 2.8865 4.4011
Te 0.0000 0.0000 2.7097
Te 0.0000 0.0000 6.0925
Te 2.8865 2.8865 1.6914
Te 2.8865 2.8865 7.1108
Se 0.0000 2.8865 2.2006
Se 0.0000 2.8865 6.6017
Se 2.8865 0.0000 2.2006
Se 2.8865 0.0000 6.6017
CELL_PARAMETERS angstrom
5.7731 0.0000 0.0000
0.0000 5.7731 0.0000
0.0000 0.0000 8.8022
```


(6)
Entry from the Alexandria database: crystalline SiTeSe3 at its relaxed geometry (PBE). Values from VASP.

Summary:
volume: 29.93 Å³ per atom
formation energy (no corrections): 0.818 eV/atom
D(E_F): 0.790 states/eV per atom
calculated density: 4.36 g cm⁻³
space-group type: Pm-3m, No. 221

Quantum ESPRESSO input file:
```
&SYSTEM
  ibrav = 0, nat = 5, ntyp = 3
/
ATOMIC_SPECIES
Si 28.09 Si.upf
Te 127.60 Te.upf
Se 78.96 Se.upf
ATOMIC_POSITIONS angstrom
Si 0.0000 0.0000 0.0000
Te 2.6547 2.6547 2.6547
Se 0.0000 2.6547 2.6547
Se 2.6547 0.0000 2.6547
Se 2.6547 2.6547 0.0000
CELL_PARAMETERS angstrom
5.3094 0.0000 0.0000
0.0000 5.3094 0.0000
0.0000 0.0000 5.3094
```


Question: The lowest formation energy (no corrections) belongs to which entry?
Answer: number 4


Question: The highest D(E_F) belongs to which entry?
Answer: number 3


Question: What is the calculated density in the first record?
Answer: 6.01 g cm⁻³


Question: Which of these has the lowest formation energy (no corrections)?
Answer: number 4